This record from the Alexandria database describes Ti2AlH2 after structural relaxation. The functional is PBE-GGA.

## Properties
As for the magnetization: 0.000 μB/atom. The total energy is -5.669 eV/atom.

abc: 3.4570 3.4570 8.9551
angles: 90.00 90.00 90.00
Closest atoms and distances in Å follow each position.
Space group I4/mmm (No. 139)
Asymmetric unit:
Ti  0.0000  0.0000  0.1632 [4 per cell]  4 H 1.90
Al  0.0000  0.0000  0.5000 [2 per cell]  8 H 2.83, 10 Ti 2.85-3.02
H  0.0000  0.5000  0.2500 [4 per cell]  4 Ti 1.90

This record from the Alexandria database describes Hf8Fe2Ir after structural relaxation. The functional is PBE-GGA.

## Properties
As for the magnetization: 0.000 μB/atom. The total energy is -9.741 eV/atom. The formation energy from the elements comes out at -0.16 eV per atom.

abc: 7.4782 12.1507 5.0209
angles: 90.00 108.56 90.00
Closest atoms and distances in Å follow each position.
Space group C2/m (No. 12)
Asymmetric unit:
Hf  0.0000  0.2250  0.0000 [4 per cell]  2 Fe 2.66, 1 Ir 2.73
Hf  0.1238  0.5000  0.8198 [4 per cell]  1 Ir 2.67, 2 Fe 2.93, 1 Hf 2.97
Hf  0.2111  0.1244  0.5835 [8 per cell]  2 Fe 2.52-2.57
Fe  0.0000  0.2967  0.5000 [4 per cell]  6 Hf 2.52-2.66
Ir  0.0000  0.0000  0.0000 [2 per cell]  4 Hf 2.67-2.73

This record from the Alexandria database describes Er2S2Cl after structural relaxation. The functional is PBE-GGA.

## Properties
For the formation energy without anion corrections, the calculation gives -2.053 eV/atom. As for the magnetization: 0.000 μB/atom. The total energy is -5.899 eV/atom.

abc: 12.2801 5.3804 7.8745
angles: 90.00 109.72 90.00
Closest atoms and distances in Å follow each position.
Space group C2/m (No. 12)
Asymmetric unit:
Er  0.0072  0.0000  0.2437 [4 per cell]  4 S 2.68-2.74, 2 Cl 2.74-2.75
Er  0.1634  0.5000  0.0744 [4 per cell]  5 S 2.69-2.75, 1 Cl 2.80
S  0.0070  0.5000  0.2473 [4 per cell]  4 Er 2.69-2.70
S  0.1678  0.0000  0.0822 [4 per cell]  5 Er 2.68-2.75
Cl  0.1573  0.0000  0.5930 [4 per cell]  3 Er 2.74-2.80

This record from the Alexandria database describes PbSe2BrCl after structural relaxation. The functional is PBE-GGA.

## Properties
For the formation energy without anion corrections, the calculation gives 0.392 eV/atom. As for the magnetization: 0.653 μB/atom. The total energy is -2.447 eV/atom.

abc: 5.7227 5.7227 5.6132
angles: 90.00 90.00 90.00
Closest atoms and distances in Å follow each position.
Space group P4/mmm (No. 123)
Asymmetric unit:
Pb  0.0000  0.0000  0.0000 [1 per cell]  2 Br 2.81, 4 Se 2.86
Se  0.0000  0.5000  0.0000 [2 per cell]  2 Pb 2.86
Br  0.0000  0.0000  0.5000 [1 per cell]  2 Pb 2.81
Cl  0.5000  0.5000  0.5000 [1 per cell]  8 Se 4.01, 4 Br 4.05

This record from the Alexandria database describes LiCaSi2Ni after structural relaxation. The functional is PBE-GGA.

## Properties
For the formation energy without anion corrections, the calculation gives -0.429 eV/atom. As for the magnetization: 0.000 μB/atom. The total energy is -4.537 eV/atom.

abc: 4.1010 4.1010 9.7331
angles: 90.00 90.00 90.00
Closest atoms and distances in Å follow each position.
Space group I-4m2 (No. 119)
Asymmetric unit:
Li  0.0000  0.0000  0.0000 [2 per cell]  4 Si 2.40
Ca  0.0000  0.5000  0.7500 [2 per cell]  8 Si 3.13, 4 Ni 3.18, 4 Li 3.18
Si  0.0000  0.5000  0.1277 [4 per cell]  1 Si 2.38, 2 Ni 2.40, 2 Li 2.40
Ni  0.0000  0.0000  0.5000 [2 per cell]  4 Si 2.40

This record from the Alexandria database describes Y2Ho4Tl after structural relaxation. The functional is PBE-GGA.

## Properties
As for the magnetization: 0.000 μB/atom. The total energy is -4.799 eV/atom. The formation energy from the elements comes out at 0.00 eV per atom.

abc: 5.6431 6.7224 11.6681
angles: 90.00 102.53 90.00
Closest atoms and distances in Å follow each position.
Space group P2_1/m (No. 11)
Asymmetric unit:
Y  0.0608  0.2500  0.4794 [2 per cell]  2 Tl 3.10-3.12, 1 Ho 3.35
Y  0.2773  0.7500  0.0579 [2 per cell]  9 Ho 3.29-3.62
Ho  0.1662  0.0102  0.7944 [4 per cell]  5 Ho 3.22-3.56, 1 Tl 3.37, 1 Y 3.47
Ho  0.2865  0.2500  0.0949 [2 per cell]  1 Tl 3.12, 4 Y 3.29-3.39
Ho  0.3773  0.7500  0.3519 [2 per cell]  3 Tl 3.23-3.44, 3 Y 3.35-3.48, 2 Ho 3.56
Tl  0.4934  0.7500  0.6358 [2 per cell]  2 Y 3.10-3.12, 6 Ho 3.12-3.44

This record from the Alexandria database describes Na2Sr3F8 after structural relaxation. The functional is PBE-GGA.

## Properties
For the formation energy without anion corrections, the calculation gives -3.494 eV/atom. As for the magnetization: 0.022 μB/atom. The total energy is -5.237 eV/atom.

abc: 6.6683 3.9826 10.2152
angles: 90.00 93.14 90.00
Closest atoms and distances in Å follow each position.
Space group P2/m (No. 10)
Asymmetric unit:
Na  0.1699  0.0000  0.3834 [2 per cell]  4 F 2.22-2.36
Sr  0.3743  0.5000  0.6750 [2 per cell]  7 F 2.46-2.55
Sr  0.5000  0.0000  0.0000 [1 per cell]  6 F 2.45-2.47
F  0.1632  0.0000  0.6310 [2 per cell]  1 Na 2.22, 2 Sr 2.47
F  0.3059  0.5000  0.4334 [2 per cell]  2 Na 2.24, 2 Sr 2.46-2.49
F  0.3209  0.5000  0.9120 [2 per cell]  3 Sr 2.47
F  0.4252  0.0000  0.2326 [2 per cell]  1 Na 2.36, 3 Sr 2.45-2.55

This record from the Alexandria database describes FeAsW2C after structural relaxation. The functional is PBE-GGA.

## Properties
As for the magnetization: 0.013 μB/atom. The total energy is -7.304 eV/atom. The formation energy from the elements comes out at 2.34 eV per atom.

abc: 4.5396 4.5396 4.1128
angles: 90.00 90.00 90.00
Closest atoms and distances in Å follow each position.
Space group P4/mmm (No. 123)
Asymmetric unit:
Fe  0.0000  0.0000  0.0000 [1 per cell]  2 As 2.06, 4 W 2.27
As  0.0000  0.0000  0.5000 [1 per cell]  2 Fe 2.06
W  0.0000  0.5000  0.0000 [2 per cell]  2 Fe 2.27
C  0.5000  0.5000  0.5000 [1 per cell]  8 W 3.06, 4 As 3.21

This record from the Alexandria database describes Mg5Cu4Hg after structural relaxation. The functional is PBE-GGA.

## Properties
As for the magnetization: 0.000 μB/atom. The total energy is -2.589 eV/atom. The formation energy from the elements comes out at -0.12 eV per atom.

abc: 3.2343 3.2343 16.0073
angles: 90.00 90.00 90.00
Closest atoms and distances in Å follow each position.
Space group P4/mmm (No. 123)
Asymmetric unit:
Mg  0.0000  0.0000  0.0000 [1 per cell]  8 Cu 2.74, 2 Mg 3.02
Mg  0.0000  0.0000  0.1884 [2 per cell]  8 Cu 2.73-2.74, 2 Mg 3.02-3.04
Mg  0.0000  0.0000  0.3781 [2 per cell]  4 Cu 2.76, 4 Hg 3.01, 1 Mg 3.04
Cu  0.5000  0.5000  0.0939 [2 per cell]  8 Mg 2.74, 2 Cu 3.00-3.01
Cu  0.5000  0.5000  0.2812 [2 per cell]  8 Mg 2.73-2.76, 1 Cu 3.00
Hg  0.5000  0.5000  0.5000 [1 per cell]  8 Mg 3.01, 4 Hg 3.23

This record from the Alexandria database describes Mn8Co2Os after structural relaxation. The functional is PBE-GGA.

## Properties
As for the magnetization: 1.287 μB/atom. The total energy is -8.865 eV/atom. The formation energy from the elements comes out at 0.12 eV per atom.

abc: 12.2353 4.0032 6.2969
angles: 90.00 118.60 90.00
Closest atoms and distances in Å follow each position.
Space group C2/m (No. 12)
Asymmetric unit:
Mn  0.0471  0.0000  0.2443 [4 per cell]  7 Mn 2.48-2.72, 1 Co 2.62
Mn  0.0963  0.5000  0.9657 [4 per cell]  3 Co 2.49-2.51, 4 Mn 2.50-2.59, 1 Os 2.58
Mn  0.1433  0.0000  0.6958 [4 per cell]  3 Co 2.44-2.48, 3 Mn 2.50-2.57, 2 Os 2.56
Mn  0.1802  0.5000  0.4147 [4 per cell]  1 Co 2.47, 6 Mn 2.48-2.57, 1 Os 2.51
Co  0.2301  0.0000  0.1407 [4 per cell]  8 Mn 2.44-2.62
Os  0.0000  0.5000  0.5000 [2 per cell]  12 Mn 2.51-2.80

This record from the Alexandria database describes Zr2Ni2Sn after structural relaxation. The functional is PBE-GGA.

## Properties
As for the magnetization: 0.000 μB/atom. The total energy is -6.800 eV/atom. The formation energy from the elements comes out at -0.27 eV per atom.

abc: 3.3664 3.3664 16.5396
angles: 90.00 90.00 90.00
Closest atoms and distances in Å follow each position.
Space group I4/mmm (No. 139)
Asymmetric unit:
Zr  0.0000  0.0000  0.1260 [4 per cell]  4 Ni 2.65
Ni  0.0000  0.5000  0.2500 [4 per cell]  4 Ni 2.38, 4 Zr 2.65
Sn  0.0000  0.0000  0.5000 [2 per cell]  8 Zr 3.16, 4 Sn 3.37

What is the magnetization in the ninth record?
0.000 μB/atom